(1)
PBE-GGA Ce2Si3Au5, relaxed; E above lowest polymorph = 144.3 meV per atom; D(E_F) = 17.2 states/eV per cell; raw formation energy = -398 meV per atom; crystal system = tetragonal; electronic total energy = -0.356 Ry per atom; volume = 20.42 A^3/atom
1.0
-2.288 -3.665 -0.427
0.738 0.037 -4.279
9.017 -5.804 1.506
Si Au Ce
3 5 2
direct
0.000 0.500 0.383
0.000 0.000 0.500
0.500 0.000 0.617
0.500 0.500 0.000
0.500 0.000 0.835
0.000 0.000 0.000
0.500 0.500 0.500
0.000 0.500 0.165
0.000 0.500 0.740
0.500 0.000 0.260

(2)
PBE-GGA Ce3Si2Au4, relaxed; D(E_F) = 17.0 states/eV per cell; raw formation energy = -709 meV per atom; crystal system = monoclinic; electronic total energy = -0.393 Ry per atom; volume = 22.42 A^3/atom
1.0
4.472 0.000 0.000
-2.236 5.242 -1.669
0.000 -0.410 8.738
Si Au Ce
2 4 3
direct
0.611 0.221 0.284
0.389 0.779 0.716
0.062 0.123 0.385
0.287 0.575 0.933
0.713 0.425 0.067
0.938 0.877 0.615
0.336 0.671 0.333
0.664 0.329 0.667
0.000 0.000 0.000

(3)
PBE-GGA Ce7Si2Au2, relaxed; D(E_F) = 31.1 states/eV per cell; raw formation energy = -267 meV per atom; crystal system = orthorhombic; electronic total energy = -0.413 Ry per atom; volume = 26.90 A^3/atom
1.0
6.595 -0.003 -0.734
0.003 7.002 0.003
-1.143 -0.002 6.536
Au Ce Si
2 7 2
direct
0.707 0.000 0.293
0.293 0.000 0.707
0.500 0.691 0.000
0.500 0.694 0.500
0.000 0.691 0.500
0.000 0.309 0.500
0.500 0.306 0.500
0.000 0.000 0.000
0.500 0.309 0.000
0.152 0.500 0.152
0.848 0.500 0.848